DFT (PBE with a Hubbard U) results for an optimized crystal structure of K2TiNiO4.

Values from the calculation:
SG   No. 5
Total magnetization   2.04 Bohr magnetons per cell
Calculated total energy   -6.099 eV/atom
Density   3.18 g/cm3

a b c (Å): 5.8412 5.8202 5.6971
angles (deg): 122.36 122.48 87.27
Closest atoms and distances in Å follow each position.
Element x y z (fractional)
K: 0.5005 0.0004 0.0009  4 O 2.67-2.72
K: 0.2505 0.2505 0.5010  6 O 2.86-3.04
Ti: 0.7336 0.7336 0.4673  4 O 1.83-1.84
Ni: 0.9902 0.4902 0.9804  4 O 1.97-1.98
O: 0.7328 0.6291 0.7205  1 Ti 1.84, 1 Ni 1.97
O: 0.8226 0.4629 0.1918  1 Ti 1.83, 1 Ni 1.98
O: 0.3692 0.7288 0.1917  1 Ti 1.83, 1 Ni 1.98
O: 0.9876 0.0914 0.7205  1 Ti 1.84, 1 Ni 1.97